Entry from the Alexandria database: crystalline Nd2N at its relaxed geometry (GGA-PBE).

The calculation puts the uncorrected formation energy at -842.6 meV per atom. As for the total magnetization: 0.0 μB/f.u. As for the total energy: -6.80 eV per atom. For the density of states at the Fermi level, the calculation gives 10.92 states/eV per cell.

The space group is I4_1/amd (No. 141, origin choice 2) and the conventional cell measures 5.1241, 5.1241 and 10.8500 Å, with angles of 90.00, 90.00 and 90.00 degrees. The asymmetric unit holds Nd at (0.0000, 0.2500, 0.1083) and N at (0.0000, 0.2500, 0.8750).